Compound: CoMoPb2
Source: Alexandria
Functional: PBEsol
Structure: relaxed

Output
Total energy, eV/atom: -6.134
Mass density, g cm⁻³: 13.32

Structure (POSCAR):
```
CoMoPb2
1.0
3.3191 0.0000 0.0000
0.0000 3.3191 0.0000
0.0000 0.0000 6.4430
Co Mo Pb
1 1 2
Cartesian
0.0000 0.0000 0.0000
0.0000 0.0000 3.2215
1.6595 1.6595 1.5457
1.6595 1.6595 4.8972
```